# 1
# NbVCr, relaxed, DFT PBE
data_NbVCr
_cell_length_a 5.712
_cell_length_b 4.412
_cell_length_c 3.874
_cell_angle_alpha 90.00
_cell_angle_beta 90.00
_cell_angle_gamma 90.00
_symmetry_space_group_name_H-M 'P 1'
_symmetry_Int_Tables_number 1
loop_
_symmetry_equiv_pos_as_xyz
'x,y,z'
loop_
_atom_site_label
_atom_site_type_symbol
_atom_site_fract_x
_atom_site_fract_y
_atom_site_fract_z
Nb1 Nb 0.250 0.000 0.090
Nb2 Nb 0.750 0.000 0.910
V1 V 0.250 0.500 0.543
V2 V 0.750 0.500 0.457
Cr1 Cr 0.000 0.500 0.000
Cr2 Cr 0.500 0.500 0.000
# - Calculated volume: 16.27 Å³/atom
# - DOS at the Fermi energy: 6.6 states/eV per cell
# - Symmetry: Pmma (51)
# - VASP energy: -54.13 eV for the cell shown

# 2
# NaCdHg4, relaxed, DFT PBE
data_NaCdHg4
_cell_length_a 8.117
_cell_length_b 8.117
_cell_length_c 8.327
_cell_angle_alpha 90.00
_cell_angle_beta 90.00
_cell_angle_gamma 142.08
_symmetry_space_group_name_H-M 'P 1'
_symmetry_Int_Tables_number 1
loop_
_symmetry_equiv_pos_as_xyz
'x,y,z'
loop_
_atom_site_label
_atom_site_type_symbol
_atom_site_fract_x
_atom_site_fract_y
_atom_site_fract_z
Na1 Na 0.134 0.866 0.750
Na2 Na 0.866 0.134 0.250
Cd1 Cd 0.348 0.652 0.750
Cd2 Cd 0.652 0.348 0.250
Hg1 Hg 0.061 0.939 0.250
Hg2 Hg 0.279 0.721 0.076
Hg3 Hg 0.279 0.721 0.424
Hg4 Hg 0.500 0.500 0.000
Hg5 Hg 0.500 0.500 0.500
Hg6 Hg 0.721 0.279 0.576
Hg7 Hg 0.721 0.279 0.924
Hg8 Hg 0.939 0.061 0.750
# - Calculated volume: 28.10 Å³/atom
# - DOS at the Fermi energy: 5.8 states/eV per cell
# - Symmetry: Cmcm (63)
# - VASP energy: -7.63 eV for the cell shown

# 3
# SrInSb2, relaxed, DFT PBE
data_SrInSb2
_cell_length_a 4.263
_cell_length_b 4.263
_cell_length_c 6.701
_cell_angle_alpha 90.00
_cell_angle_beta 90.00
_cell_angle_gamma 90.00
_symmetry_space_group_name_H-M 'P 1'
_symmetry_Int_Tables_number 1
loop_
_symmetry_equiv_pos_as_xyz
'x,y,z'
loop_
_atom_site_label
_atom_site_type_symbol
_atom_site_fract_x
_atom_site_fract_y
_atom_site_fract_z
Sr1 Sr 0.000 0.000 0.000
In1 In 0.000 0.000 0.500
Sb1 Sb 0.500 0.500 0.275
Sb2 Sb 0.500 0.500 0.725
# - Formation energy from raw total energies: -1.55 eV per formula unit
# - Calculated volume: 30.44 Å³/atom
# - DOS at the Fermi energy: 2.0 states/eV per cell
# - Symmetry: P4/mmm (123)
# - VASP energy: -14.22 eV for the cell shown

# 4
# AgWBr2, relaxed, DFT PBE
data_AgWBr2
_cell_length_a 3.257
_cell_length_b 4.471
_cell_length_c 6.487
_cell_angle_alpha 90.00
_cell_angle_beta 90.00
_cell_angle_gamma 90.00
_symmetry_space_group_name_H-M 'P 1'
_symmetry_Int_Tables_number 1
loop_
_symmetry_equiv_pos_as_xyz
'x,y,z'
loop_
_atom_site_label
_atom_site_type_symbol
_atom_site_fract_x
_atom_site_fract_y
_atom_site_fract_z
Ag1 Ag 0.000 0.000 0.000
W1 W 0.500 0.000 0.500
Br1 Br 0.000 0.500 0.500
Br2 Br 0.500 0.500 0.000
# - Formation energy from raw total energies: 3.97 eV per formula unit
# - Calculated volume: 23.61 Å³/atom
# - DOS at the Fermi energy: 2.2 states/eV per cell
# - Symmetry: Pmmm (47)
# - VASP energy: -15.18 eV for the cell shown

# 5
# CrIrCl2, relaxed, DFT PBE
data_CrIrCl2
_cell_length_a 3.339
_cell_length_b 3.510
_cell_length_c 7.233
_cell_angle_alpha 90.00
_cell_angle_beta 96.20
_cell_angle_gamma 90.00
_symmetry_space_group_name_H-M 'P 1'
_symmetry_Int_Tables_number 1
loop_
_symmetry_equiv_pos_as_xyz
'x,y,z'
loop_
_atom_site_label
_atom_site_type_symbol
_atom_site_fract_x
_atom_site_fract_y
_atom_site_fract_z
Cr1 Cr 0.000 0.000 0.000
Ir1 Ir 0.531 0.500 0.138
Cl1 Cl 0.245 0.500 0.812
Cl2 Cl 0.670 0.000 0.371
# - Formation energy from raw total energies: 0.00 eV per formula unit
# - Calculated volume: 21.07 Å³/atom
# - DOS at the Fermi energy: 0.7 states/eV per cell
# - Symmetry: Pm (6)
# - VASP energy: -22.18 eV for the cell shown

# 6
# TbPmTm, relaxed, DFT PBE
data_TbPmTm
_cell_length_a 5.633
_cell_length_b 5.633
_cell_length_c 3.481
_cell_angle_alpha 90.00
_cell_angle_beta 90.00
_cell_angle_gamma 120.00
_symmetry_space_group_name_H-M 'P 1'
_symmetry_Int_Tables_number 1
loop_
_symmetry_equiv_pos_as_xyz
'x,y,z'
loop_
_atom_site_label
_atom_site_type_symbol
_atom_site_fract_x
_atom_site_fract_y
_atom_site_fract_z
Tb1 Tb 0.000 0.000 0.000
Pm1 Pm 0.333 0.667 0.500
Tm1 Tm 0.667 0.333 0.500
# - Calculated volume: 31.89 Å³/atom
# - DOS at the Fermi energy: 4.9 states/eV per cell
# - Symmetry: P-6m2 (187)
# - VASP energy: -13.64 eV for the cell shown